DFT (PBE) results for an optimized crystal structure of MgIn2Ni2.

M_tot   0.0 μB per formula unit
DFT formation energy   77 meV per atom
VASP energy   -18.25 eV per cell

a = 4.1860 Å, b = 4.1860 Å, c = 6.2059 Å
α = 70.29°, β = 70.29°, γ = 90.00°
Element x y z (fractional)
Mg 0.0000 0.0000 0.0000
Ni 0.6034 0.6034 0.7933
In 0.2500 0.7500 0.5000
Ni 0.3966 0.3966 0.2067
In 0.7500 0.2500 0.5000

DFT (PBE) results for an optimized crystal structure of Mg8In2Ni.

M_tot   0.0 μB per formula unit
DFT formation energy   -75 meV per atom
VASP energy   -24.84 eV per cell

a = 4.9466 Å, b = 6.5390 Å, c = 8.3831 Å
α = 112.90°, β = 107.16°, γ = 90.00°
Element x y z (fractional)
Mg 0.0004 0.7682 0.0008
Mg 0.3714 0.1279 0.7428
In 0.8178 0.3177 0.6356
Mg 0.3726 0.6136 0.7452
Mg 0.1842 0.1858 0.3683
In 0.1822 0.6823 0.3644
Mg 0.6286 0.8721 0.2572
Ni 0.5000 0.0000 0.0000
Mg 0.6274 0.3864 0.2548
Mg 0.8158 0.8142 0.6317
Mg 0.9996 0.2318 0.9992

DFT (PBE) results for an optimized crystal structure of Mg3InNi.

M_tot   0.0 μB per formula unit
DFT formation energy   61 meV per atom
VASP energy   -13.00 eV per cell
E above lowest polymorph   153 meV/atom

a = 4.8529 Å, b = 4.8529 Å, c = 4.8529 Å
α = 90.00°, β = 90.00°, γ = 90.00°
Element x y z (fractional)
Mg 0.5000 0.0000 0.0000
Ni 0.0000 0.0000 0.0000
In 0.5000 0.5000 0.5000
Mg 0.0000 0.0000 0.5000
Mg 0.0000 0.5000 0.0000